(1)
The following is a PBE calculation of a geometry-optimized Na2NpHgO4 structure, from Alexandria.

Cell and atoms, written as POSCAR:
```
Na2NpHgO4
1.0
-2.348 -2.125 -1.412
2.775 -3.581 -3.484
2.264 -7.821 3.746
O Na Hg Np
4 2 1 1
Cartesian
0.785 -4.467 -3.098 O
1.906 -9.060 1.948 O
-1.453 -3.615 -0.659 O
4.143 -9.912 -0.491 O
1.858 -10.302 -0.361 Na
0.833 -3.225 -0.789 Na
1.345 -6.763 -0.575 Hg
0.000 0.000 0.000 Np
```

Values from the calculation:
- total DFT energy (no corrections) (eV/atom) = -6.470
- calculated volume (Å³/cell) = 154
- energy relative to the elements, uncorrected (eV per atom) = -2.006

(2)
The following is a PBE calculation of a geometry-optimized Pr2DyTe2N2 structure, from Alexandria.

Cell and atoms, written as POSCAR:
```
Pr2DyTe2N2
1.0
4.450 0.000 0.000
0.000 4.450 0.000
-2.225 -2.225 8.245
Pr Te Dy N
2 2 1 2
Cartesian
2.225 2.225 1.711 Pr
0.000 0.000 6.534 Pr
2.225 2.225 5.178 Te
0.000 0.000 3.067 Te
0.000 0.000 0.000 Dy
2.225 0.000 0.000 N
0.000 2.225 0.000 N
```

Values from the calculation:
- total DFT energy (no corrections) (eV/atom) = -6.518
- calculated volume (Å³/cell) = 163
- energy relative to the elements, uncorrected (eV per atom) = -1.218